Entry 1:
Density functional theory data (PBE) for a relaxed Na5Bi2Pd crystal.

Cell lengths 6.722, 13.528, 4.606 Å; angles 90.00, 90.00, 90.00 degrees
Space group Pbam (No. 55)
Unique sites:
Na  0.000  0.000  0.000 x2
Na  0.042  0.266  0.000 x4
Na  0.215  0.875  0.500 x4
Bi  0.191  0.606  0.500 x4
Pd  0.000  0.500  0.000 x2

Values from the calculation:
Relative energy among the computed polymorphs (eV/atom): 0.083
Energy (eV per formula unit): -21.4

Entry 2:
Density functional theory data (PBE) for a relaxed InTe2As crystal.

Cell lengths 3.609, 3.609, 9.591 Å; angles 90.00, 90.00, 90.00 degrees
Space group P4mm (No. 99)
Unique sites:
In  0.000  0.000  0.000 x1
Te  0.000  0.000  0.595 x1
Te  0.500  0.500  0.221 x1
As  0.500  0.500  0.719 x1

Values from the calculation:
Relative energy among the computed polymorphs (eV/atom): 0.218
Formation energy (no corrections) (eV per atom): 0.1212
Energy (eV per formula unit): -13.2

Entry 3:
Density functional theory data (PBE) for a relaxed Li2AgPb crystal.

Cell lengths 4.555, 4.555, 3.600 Å; angles 90.00, 90.00, 90.00 degrees
Space group P4/mmm (No. 123)
Unique sites:
Li  0.000  0.500  0.000 x2
Ag  0.000  0.000  0.500 x1
Pb  0.500  0.500  0.500 x1

Values from the calculation:
Energy (eV per formula unit): -11.3

Entry 4:
Density functional theory data (PBE) for a relaxed MnNbSe3 crystal.

Cell lengths 5.061, 5.061, 5.061 Å; angles 90.00, 90.00, 90.00 degrees
Space group Pm-3m (No. 221)
Unique sites:
Mn  0.000  0.000  0.000 x1
Nb  0.500  0.500  0.500 x1
Se  0.000  0.500  0.500 x3

Values from the calculation:
Relative energy among the computed polymorphs (eV/atom): 0.405
Formation energy (no corrections) (eV per atom): 0.1000
Energy (eV per formula unit): -29.2

Entry 5:
Density functional theory data (PBE) for a relaxed K2LaBe crystal.

Cell lengths 3.619, 6.104, 6.953 Å; angles 90.00, 90.00, 90.00 degrees
Space group Pmmm (No. 47)
Unique sites:
K  0.000  0.000  0.226 x2
La  0.500  0.500  0.500 x1
Be  0.500  0.500  0.000 x1

Values from the calculation:
Energy (eV per formula unit): -7.3

Entry 6:
Density functional theory data (PBE) for a relaxed FeCuPb2 crystal.

Cell lengths 4.023, 4.023, 10.254 Å; angles 90.00, 90.00, 90.00 degrees
Space group I-4m2 (No. 119)
Unique sites:
Fe  0.000  0.000  0.000 x2
Cu  0.000  0.500  0.250 x2
Pb  0.000  0.000  0.500 x2
Pb  0.000  0.500  0.750 x2

Values from the calculation:
Relative energy among the computed polymorphs (eV/atom): 0.217
Energy (eV per formula unit): -17.8

Entry 7:
Density functional theory data (PBE) for a relaxed CdInSbS crystal.

Cell lengths 7.771, 4.487, 7.645 Å; angles 90.00, 109.82, 90.00 degrees
Space group Cm (No. 8)
Unique sites:
Cd  0.000  0.000  0.000 x2
In  0.489  0.000  0.465 x2
Sb  0.370  0.500  0.608 x2
S  0.370  0.000  0.109 x2

Values from the calculation:
Formation energy (no corrections) (eV per atom): -0.3193
Energy (eV per formula unit): -13.2

Entry 8:
Density functional theory data (PBE) for a relaxed BaCrTe2N crystal.

Cell lengths 5.868, 5.868, 3.686 Å; angles 90.00, 90.00, 90.00 degrees
Space group P4/mmm (No. 123)
Unique sites:
Ba  0.000  0.000  0.000 x1
Cr  0.500  0.500  0.500 x1
Te  0.000  0.500  0.500 x2
N  0.500  0.500  0.000 x1

Values from the calculation:
Relative energy among the computed polymorphs (eV/atom): 0.000
Formation energy (no corrections) (eV per atom): -0.4635
Energy (eV per formula unit): -28.5

Number 1: magnetic moment 0.00 μB per formula unit, D(E_F) 0.333 states/eV per atom, ρ 5.1 g cm⁻³. Number 2: magnetic moment 0.00 μB per formula unit, D(E_F) 0.444 states/eV per atom, ρ 5.9 g cm⁻³. Number 3: magnetic moment 0.00 μB per formula unit, D(E_F) 0.447 states/eV per atom, ρ 7.3 g cm⁻³. Number 4: magnetic moment 5.62 μB per formula unit, D(E_F) 0.615 states/eV per atom, ρ 4.9 g cm⁻³. Number 5: magnetic moment 0.69 μB per formula unit, D(E_F) 1.462 states/eV per atom, ρ 2.4 g cm⁻³. Number 6: magnetic moment 2.70 μB per formula unit, D(E_F) 0.750 states/eV per atom, ρ 10.7 g cm⁻³. Number 7: magnetic moment 0.00 μB per formula unit, D(E_F) 0.057 states/eV per atom, ρ 5.0 g cm⁻³. Number 8: magnetic moment 1.50 μB per formula unit, D(E_F) 0.533 states/eV per atom, ρ 6.0 g cm⁻³.